[1]
# SrEr2Tl2Ag2

An optimized crystal structure of SrEr2Tl2Ag2 (GGA-PBE, Alexandria via LeMat-Bulk).

Lattice parameters (Å, degrees): 4.961 4.961 9.718 75.21 75.21 60.00
Fractional coordinates of all 7 atoms:
Er1 0.135 0.135 0.596
Er2 0.865 0.865 0.404
Ag1 0.556 0.556 0.332
Ag2 0.444 0.444 0.668
Tl1 0.254 0.254 0.237
Tl2 0.746 0.746 0.763
Sr1 0.000 0.000 0.000

Summary:
Calculated total energy in eV/atom: -3.243
Total magnetic moment in μB per formula unit: 0.00


[2]
# SrErTlAg

An optimized crystal structure of SrErTlAg (GGA-PBE, Alexandria via LeMat-Bulk).

Lattice parameters (Å, degrees): 5.425 5.425 5.425 60.00 60.00 60.00
Fractional coordinates of all 4 atoms:
Tl1 0.500 0.500 0.500
Sr1 0.250 0.250 0.250
Ag1 0.000 0.000 0.000
Er1 0.750 0.750 0.750

Summary:
Calculated total energy in eV/atom: -3.126
Total magnetic moment in μB per formula unit: 0.00


[3]
# Tb4ErAg5

An optimized crystal structure of Tb4ErAg5 (GGA-PBE, Alexandria via LeMat-Bulk).

Lattice parameters (Å, degrees): 3.613 3.613 18.491 90.00 90.00 90.00
Fractional coordinates of all 10 atoms:
Er1 0.000 0.000 0.000
Ag1 0.500 0.500 0.500
Ag2 0.500 0.500 0.299
Ag3 0.500 0.500 0.701
Ag4 0.500 0.500 0.903
Ag5 0.500 0.500 0.097
Tb1 0.000 0.000 0.600
Tb2 0.000 0.000 0.198
Tb3 0.000 0.000 0.802
Tb4 0.000 0.000 0.400

Summary:
Calculated total energy in eV/atom: -4.055
Total magnetic moment in μB per formula unit: 0.00


[4]
# TbEr2Ag4

An optimized crystal structure of TbEr2Ag4 (GGA-PBE, Alexandria via LeMat-Bulk).

Lattice parameters (Å, degrees): 6.161 6.161 6.161 110.34 109.04 109.04
Fractional coordinates of all 7 atoms:
Ag1 0.000 0.500 0.000
Ag2 0.000 0.000 0.500
Ag3 0.500 0.000 0.000
Ag4 0.500 0.500 0.500
Er1 0.500 0.500 0.000
Er2 0.500 0.000 0.500
Tb1 0.000 0.000 0.000

Summary:
Calculated total energy in eV/atom: -3.693
Total magnetic moment in μB per formula unit: 0.00